Density functional theory data (GGA-PBE) for crystalline NaSnHgCl6 at its relaxed geometry.

Cell lengths 6.8635, 6.8635, 12.5811 Å; angles 90.00, 90.00, 120.00 degrees
Last column: nearest neighbours and their distance in Å.
Sites, in units of the cell vectors:
Cl 0.3570 0.0073 0.1299  1 Sn 2.66, 1 Hg 2.72, 1 Na 2.92
Cl 0.3497 0.9927 0.6299  1 Sn 2.66, 1 Hg 2.72, 1 Na 2.92
Cl 0.3497 0.3570 0.8701  1 Sn 2.66, 1 Hg 2.72, 1 Na 2.92
Cl 0.6430 0.9927 0.8701  1 Sn 2.66, 1 Hg 2.72, 1 Na 2.92
Na 0.0000 0.0000 0.5000  6 Cl 2.92
Cl 0.0073 0.3570 0.6299  1 Sn 2.66, 1 Hg 2.72, 1 Na 2.92
Hg 0.3333 0.6667 0.2500  6 Cl 2.72
Na 0.0000 0.0000 0.0000  6 Cl 2.92
Cl 0.6503 0.0073 0.3701  1 Sn 2.66, 1 Hg 2.72, 1 Na 2.92
Cl 0.9927 0.3497 0.1299  1 Sn 2.66, 1 Hg 2.72, 1 Na 2.92
Cl 0.6503 0.6430 0.1299  1 Sn 2.66, 1 Hg 2.72, 1 Na 2.92
Sn 0.3333 0.6667 0.7500  6 Cl 2.66
Cl 0.6430 0.6503 0.6299  1 Sn 2.66, 1 Hg 2.72, 1 Na 2.92
Cl 0.3570 0.3497 0.3701  1 Sn 2.66, 1 Hg 2.72, 1 Na 2.92
Cl 0.9927 0.6430 0.3701  1 Sn 2.66, 1 Hg 2.72, 1 Na 2.92
Sn 0.6667 0.3333 0.2500  6 Cl 2.66
Hg 0.6667 0.3333 0.7500  6 Cl 2.72
Cl 0.0073 0.6503 0.8701  1 Sn 2.66, 1 Hg 2.72, 1 Na 2.92

Output
Theoretical density = 3.591 Mg/m³
Total moment = 0.679 μB per formula unit
DFT total energy = -50.601 eV per cell
Raw formation energy = -955.3 meV/atom

***

Density functional theory data (GGA-PBE) for crystalline NaSnHgCl5 at its relaxed geometry.

Cell lengths 9.1058, 9.1058, 8.6357 Å; angles 103.94, 103.94, 122.55 degrees
Last column: nearest neighbours and their distance in Å.
Sites, in units of the cell vectors:
Sn 0.7328 0.2672 0.7500  1 Cl 2.55
Cl 0.8067 0.6589 0.5342  1 Hg 2.41
Hg 0.6249 0.3751 0.2500  2 Cl 2.41
Cl 0.1204 0.6206 0.8735  1 Hg 2.76, 2 Sn 2.87
Cl 0.6589 0.8067 0.0342  1 Hg 2.41
Hg 0.3751 0.6249 0.7500  2 Cl 2.41
Na 0.0000 0.0000 0.0000  4 Cl 2.76
Na 0.0000 0.0000 0.5000  4 Cl 2.76
Cl 0.1078 0.8922 0.2500  1 Sn 2.55, 2 Na 2.76
Cl 0.1933 0.3411 0.4658  1 Hg 2.41
Sn 0.2672 0.7328 0.2500  1 Cl 2.55
Cl 0.6206 0.1204 0.3735  1 Hg 2.76, 2 Sn 2.87
Cl 0.3794 0.8796 0.6265  1 Hg 2.76, 2 Sn 2.87
Cl 0.8922 0.1078 0.7500  1 Sn 2.55, 2 Na 2.76
Cl 0.3411 0.1933 0.9658  1 Hg 2.41
Cl 0.8796 0.3794 0.1265  1 Hg 2.76, 2 Sn 2.87

Output
Theoretical density = 3.304 Mg/m³
Total moment = 0.000 μB per formula unit
DFT total energy = -45.860 eV per cell
Raw formation energy = -1009.2 meV/atom

***

Density functional theory data (GGA-PBE) for crystalline NaTbHgCl6 at its relaxed geometry.

Cell lengths 6.8637, 6.8637, 12.7013 Å; angles 90.00, 90.00, 120.00 degrees
Last column: nearest neighbours and their distance in Å.
Sites, in units of the cell vectors:
Cl 0.3546 0.0056 0.1301  1 Tb 2.67, 1 Hg 2.72, 1 Na 2.93
Cl 0.3546 0.3490 0.3699  1 Tb 2.67, 1 Hg 2.72, 1 Na 2.93
Cl 0.6454 0.6510 0.6301  1 Tb 2.67, 1 Hg 2.72, 1 Na 2.93
Hg 0.3333 0.6667 0.2500  6 Cl 2.72
Cl 0.6510 0.0056 0.3699  1 Tb 2.67, 1 Hg 2.72, 1 Na 2.93
Cl 0.6510 0.6454 0.1301  1 Tb 2.67, 1 Hg 2.72, 1 Na 2.93
Tb 0.6667 0.3333 0.2500  6 Cl 2.67
Hg 0.6667 0.3333 0.7500  6 Cl 2.72
Cl 0.3490 0.9944 0.6301  1 Tb 2.67, 1 Hg 2.72, 1 Na 2.93
Na 0.0000 0.0000 0.0000  6 Cl 2.93
Cl 0.6454 0.9944 0.8699  1 Tb 2.67, 1 Hg 2.72, 1 Na 2.93
Cl 0.0056 0.3546 0.6301  1 Tb 2.67, 1 Hg 2.72, 1 Na 2.93
Cl 0.3490 0.3546 0.8699  1 Tb 2.67, 1 Hg 2.72, 1 Na 2.93
Cl 0.9944 0.3490 0.1301  1 Tb 2.67, 1 Hg 2.72, 1 Na 2.93
Na 0.0000 0.0000 0.5000  6 Cl 2.93
Cl 0.9944 0.6454 0.3699  1 Tb 2.67, 1 Hg 2.72, 1 Na 2.93
Cl 0.0056 0.6510 0.8699  1 Tb 2.67, 1 Hg 2.72, 1 Na 2.93
Tb 0.3333 0.6667 0.7500  6 Cl 2.67

Output
Theoretical density = 3.815 Mg/m³
Total moment = 0.000 μB per formula unit
DFT total energy = -63.362 eV per cell
Raw formation energy = -1594.4 meV/atom

***

Density functional theory data (GGA-PBE) for crystalline NaTcHgCl6 at its relaxed geometry.

Cell lengths 6.8317, 6.8317, 11.8009 Å; angles 90.00, 90.00, 120.00 degrees
Last column: nearest neighbours and their distance in Å.
Sites, in units of the cell vectors:
Hg 0.0000 0.0000 0.0000  6 Cl 2.96
Tc 0.6667 0.3333 0.2500  6 Cl 2.38
Cl 0.3890 0.3441 0.3676  1 Tc 2.38
Cl 0.3890 0.0449 0.1324  1 Tc 2.38
Tc 0.3333 0.6667 0.7500  6 Cl 2.38
Na 0.3333 0.6667 0.2500  6 Cl 2.79
Cl 0.9551 0.6110 0.3676  1 Tc 2.38
Cl 0.9551 0.3441 0.1324  1 Tc 2.38
Na 0.6667 0.3333 0.7500  6 Cl 2.79
Hg 0.0000 0.0000 0.5000  6 Cl 2.96
Cl 0.0449 0.3890 0.6324  1 Tc 2.38
Cl 0.6559 0.0449 0.3676  1 Tc 2.38
Cl 0.3441 0.3890 0.8676  1 Tc 2.38
Cl 0.6110 0.9551 0.8676  1 Tc 2.38
Cl 0.3441 0.9551 0.6324  1 Tc 2.38
Cl 0.6110 0.6559 0.6324  1 Tc 2.38
Cl 0.0449 0.6559 0.8676  1 Tc 2.38
Cl 0.6559 0.6110 0.1324  1 Tc 2.38

Output
Theoretical density = 3.720 Mg/m³
Total moment = 2.197 μB per formula unit
DFT total energy = -61.314 eV per cell
Raw formation energy = -843.4 meV/atom

***

Density functional theory data (GGA-PBE) for crystalline Na2TcHgCl at its relaxed geometry.

Cell lengths 5.7525, 5.1971, 5.7525 Å; angles 90.00, 90.00, 90.00 degrees
Last column: nearest neighbours and their distance in Å.
Sites, in units of the cell vectors:
Hg 0.0000 0.0000 0.0000  2 Tc 2.60, 4 Na 2.88
Na 0.5000 0.0000 0.0000  2 Hg 2.88
Cl 0.5000 0.5000 0.5000  8 Na 3.88, 4 Tc 4.07
Na 0.0000 0.0000 0.5000  2 Hg 2.88
Tc 0.0000 0.5000 0.0000  2 Hg 2.60

Output
Theoretical density = 3.669 Mg/m³
Total moment = 3.421 μB per formula unit
DFT total energy = -12.814 eV per cell
Raw formation energy = 467.7 meV/atom

***

Density functional theory data (GGA-PBE) for crystalline NaHgTeCl at its relaxed geometry.

Cell lengths 4.7997, 4.8054, 6.7783 Å; angles 90.00, 90.00, 119.96 degrees
Last column: nearest neighbours and their distance in Å.
Sites, in units of the cell vectors:
Na 0.8348 0.6697 0.5000  3 Cl 2.77-2.78
Hg 0.1712 0.3424 0.0000  3 Te 2.77
Te 0.8381 0.6762 0.0000  3 Hg 2.77
Cl 0.1682 0.3364 0.5000  3 Na 2.77-2.78

Output
Theoretical density = 4.740 Mg/m³
Total moment = 0.000 μB per formula unit
DFT total energy = -10.010 eV per cell
Raw formation energy = -850.2 meV/atom

***

Density functional theory data (GGA-PBE) for crystalline NaTiHgCl6 at its relaxed geometry.

Cell lengths 6.7735, 6.7736, 6.0757 Å; angles 89.90, 90.10, 59.90 degrees
Last column: nearest neighbours and their distance in Å.
Sites, in units of the cell vectors:
Cl 0.0431 0.3417 0.2732  1 Ti 2.37
Cl 0.6154 0.0437 0.2741  1 Ti 2.38
Cl 0.6162 0.3405 0.7262  1 Ti 2.38
Na 0.6665 0.6665 0.5000  6 Cl 2.76
Cl 0.3416 0.0431 0.7268  1 Ti 2.37
Cl 0.0437 0.6154 0.7259  1 Ti 2.38
Ti 0.3331 0.3331 0.5000  6 Cl 2.37-2.38
Cl 0.3405 0.6163 0.2737  1 Ti 2.38
Hg 0.9997 0.9997 0.0000  6 Cl 2.97-2.98

Output
Theoretical density = 3.334 Mg/m³
Total moment = 0.000 μB per formula unit
DFT total energy = -32.088 eV per cell
Raw formation energy = -1276.9 meV/atom

***

Density functional theory data (GGA-PBE) for crystalline Na2TlHgCl6 at its relaxed geometry.

Cell lengths 7.0749, 7.0754, 7.5829 Å; angles 62.20, 62.20, 59.99 degrees
Last column: nearest neighbours and their distance in Å.
Sites, in units of the cell vectors:
Hg 0.3182 0.3181 0.0452  6 Cl 2.66-2.78
Cl 0.5951 0.2172 0.2478  1 Hg 2.66, 2 Na 2.85-2.91, 1 Tl 2.93
Na 0.0163 0.0162 0.9510  6 Cl 2.82-2.91
Cl 0.9398 0.5951 0.2479  1 Hg 2.66, 2 Na 2.84-2.91, 1 Tl 2.93
Cl 0.1104 0.4237 0.7610  1 Hg 2.78, 1 Tl 2.79, 2 Na 2.82-2.93
Cl 0.7048 0.1105 0.7610  1 Hg 2.78, 1 Tl 2.79, 2 Na 2.82-2.92
Cl 0.2170 0.9397 0.2480  1 Hg 2.66, 2 Na 2.84-2.91, 1 Tl 2.93
Na 0.5191 0.5191 0.4432  6 Cl 2.84-2.93
Tl 0.8169 0.8170 0.5491  6 Cl 2.79-2.93
Cl 0.4238 0.7050 0.7609  1 Hg 2.78, 1 Tl 2.79, 2 Na 2.82-2.92

Output
Theoretical density = 3.979 Mg/m³
Total moment = 0.000 μB per formula unit
DFT total energy = -27.246 eV per cell
Raw formation energy = -1086.0 meV/atom

***

Density functional theory data (GGA-PBE) for crystalline Na3Tl3HgCl8 at its relaxed geometry.

Cell lengths 8.3184, 8.3228, 8.8471 Å; angles 118.08, 90.00, 119.98 degrees
Last column: nearest neighbours and their distance in Å.
Sites, in units of the cell vectors:
Cl 0.2630 0.5261 0.2894  3 Na 2.87
Cl 0.2265 0.4529 0.7026  1 Hg 2.74, 2 Na 2.88
Hg 0.0000 0.0000 0.5000  6 Cl 2.74
Cl 0.7735 0.5471 0.2974  1 Hg 2.74, 2 Na 2.88
Cl 0.2269 0.9762 0.7028  1 Hg 2.74, 2 Na 2.88
Na 0.0000 0.5000 0.5000  6 Cl 2.87-2.88
Tl 0.5000 0.5000 0.0000  6 Cl 3.22
Na 0.5000 0.0000 0.5000  6 Cl 2.87-2.88
Cl 0.7493 0.9762 0.7028  1 Hg 2.74, 2 Na 2.88
Tl 0.0000 0.5000 0.0000  6 Cl 3.22
Tl 0.0000 0.0000 0.0000  6 Cl 3.22
Cl 0.2507 0.0238 0.2972  1 Hg 2.74, 2 Na 2.88
Cl 0.7370 0.4739 0.7106  3 Na 2.87
Cl 0.7731 0.0238 0.2972  1 Hg 2.74, 2 Na 2.88
Na 0.5000 0.5000 0.5000  6 Cl 2.87-2.88

Output
Theoretical density = 4.349 Mg/m³
Total moment = 0.000 μB per formula unit
DFT total energy = -44.676 eV per cell
Raw formation energy = -1236.4 meV/atom

***

no.,DOS at the Fermi energy (states/eV per cell)
1,9.8
2,0.0
3,0.0
4,3.1
5,1.7
6,0.3
7,4.5
8,3.5
9,0.0